No. 1
The following is a PBE-GGA calculation of crystalline Pr2NdY7 at its relaxed geometry, from the Alexandria database.

Computed properties:
**ΔE_f**: 0.680 eV per atom
**Crystal system**: orthorhombic

Geometry as POSCAR:
```
Pr2NdY7
1.0
5.4802 0.0000 0.0000
0.0000 9.4267 -0.6766
0.0000 -4.8567 8.1076
Pr Nd Y
2 1 7
direct
0.5000 0.7023 0.2977
0.5000 0.2977 0.7023
0.0000 0.0000 0.0000
0.0000 0.7883 0.2117
0.0000 0.2117 0.7883
0.5000 0.0660 0.2899
0.5000 0.9340 0.7101
0.5000 0.2899 0.0660
0.5000 0.7101 0.9340
0.5000 0.5000 0.5000
```

No. 2
The following is a PBE-GGA calculation of crystalline K2AlFe at its relaxed geometry, from the Alexandria database.

Computed properties:
**ΔE_f**: 0.949 eV per atom
**Crystal system**: tetragonal

Geometry as POSCAR:
```
K2AlFe
1.0
3.1601 0.0000 0.0000
0.0000 3.1601 0.0000
0.0000 0.0000 11.3612
K Fe Al
2 1 1
direct
0.0000 0.0000 0.9895
0.0000 0.0000 0.5105
0.5000 0.5000 0.7500
0.5000 0.5000 0.2500
```

No. 3
The following is a PBE-GGA calculation of crystalline Pu2MnTe2N2 at its relaxed geometry, from the Alexandria database.

Computed properties:
**Crystal system**: monoclinic
**Formation energy (no corrections)**: -927 meV per atom

Geometry as POSCAR:
```
Pu2MnTe2N2
1.0
3.8647 0.0000 0.0000
1.9323 5.6107 -0.1987
1.9323 1.9520 6.3360
Pu Mn Te N
2 1 2 2
direct
0.1964 0.3854 0.2219
0.8036 0.6146 0.7781
0.0000 0.0000 0.0000
0.5647 0.1997 0.6709
0.4353 0.8003 0.3291
0.1963 0.6827 0.9246
0.8037 0.3173 0.0754
```

No. 4
The following is a PBE-GGA calculation of crystalline Li4BP2 at its relaxed geometry, from the Alexandria database.

Computed properties:
**ΔE_f**: 0.234 eV per atom
**Crystal system**: tetragonal

Geometry as POSCAR:
```
Li4BP2
1.0
4.4419 0.0000 0.0000
0.0000 4.4419 0.0000
2.2210 2.2210 5.7515
P B Li
2 1 4
direct
0.5954 0.5954 0.8091
0.4046 0.4046 0.1909
0.0000 0.0000 0.0000
0.8082 0.8082 0.3836
0.1918 0.1918 0.6164
0.0000 0.5000 0.0000
0.5000 0.0000 0.0000
```

No. 5
The following is a PBE-GGA calculation of crystalline RbAlCdH6 at its relaxed geometry, from the Alexandria database.

Computed properties:
**Crystal system**: trigonal

Geometry as POSCAR:
```
RbAlCdH6
1.0
5.0511 0.0003 0.0001
2.5259 4.3742 -0.0001
0.0003 -0.0005 5.9702
Rb Al Cd H
1 1 1 6
direct
0.0000 0.0000 0.0000
0.3333 0.3333 0.5000
0.6666 0.6666 0.5000
0.0398 0.3510 0.3262
0.3509 0.0398 0.6737
0.6092 0.3510 0.6737
0.0397 0.6093 0.6737
0.3509 0.6093 0.3262
0.6093 0.0398 0.3262
```

No. 6
The following is a PBE-GGA calculation of crystalline CsCuHg2F8 at its relaxed geometry, from the Alexandria database.

Computed properties:
**Crystal system**: triclinic
**Formation energy (no corrections)**: -1643 meV per atom

Geometry as POSCAR:
```
CsCuHg2F8
1.0
5.3582 0.1436 0.0793
0.1945 5.5413 0.3588
0.1179 0.4927 8.0213
Cs Cu Hg F
1 1 2 8
direct
0.0000 0.0000 0.5000
0.0000 0.0000 0.0000
0.4737 0.4914 0.7827
0.5263 0.5086 0.2173
0.1194 0.7866 0.1727
0.6441 0.7288 0.0103
0.8624 0.1854 0.1508
0.8806 0.2134 0.8273
0.3559 0.2712 0.9897
0.1376 0.8146 0.8492
0.5566 0.7120 0.5688
0.4434 0.2880 0.4312
```

No. 7
The following is a PBE-GGA calculation of crystalline Ta2TeSe at its relaxed geometry, from the Alexandria database.

Computed properties:
**Crystal system**: orthorhombic
**Formation energy (no corrections)**: 444 meV per atom

Geometry as POSCAR:
```
Ta2TeSe
1.0
-0.4101 -1.7425 -2.8276
4.9909 1.2875 -1.5172
1.5483 -3.6301 2.0125
Se Ta Te
1 2 1
direct
0.0000 0.5000 0.5000
0.0000 0.0000 0.0000
0.5000 0.5000 0.0000
0.5000 0.0000 0.5000
```

No. 8
The following is a PBE-GGA calculation of crystalline Ca2AsW at its relaxed geometry, from the Alexandria database.

Computed properties:
**ΔE_f**: 0.184 eV per atom
**Crystal system**: tetragonal

Geometry as POSCAR:
```
Ca2AsW
1.0
-0.5722 -1.6768 -2.4784
2.0657 -2.0470 0.9080
-6.6418 -4.6321 4.6674
As Ca W
1 2 1
direct
0.5000 0.5000 0.7500
0.0000 0.0000 0.9913
0.0000 0.0000 0.5087
0.5000 0.5000 0.2500
```

No. 9
The following is a PBE-GGA calculation of crystalline Sc2FeB2 at its relaxed geometry, from the Alexandria database.

Computed properties:
**ΔE_f**: -0.387 eV per atom
**Crystal system**: tetragonal

Geometry as POSCAR:
```
Sc2FeB2
1.0
6.0028 0.0000 0.0000
0.0000 6.0028 0.0000
0.0000 0.0000 3.4106
Sc B Fe
4 4 2
direct
0.1892 0.6892 0.5000
0.6892 0.8108 0.5000
0.8108 0.3108 0.5000
0.3108 0.1892 0.5000
0.3985 0.8985 0.0000
0.8985 0.6015 0.0000
0.6015 0.1015 0.0000
0.1015 0.3985 0.0000
0.0000 0.0000 0.0000
0.5000 0.5000 0.0000
```

No. 10
The following is a PBE-GGA calculation of crystalline NbV2NiPb at its relaxed geometry, from the Alexandria database.

Computed properties:
**ΔE_f**: 0.973 eV per atom
**Crystal system**: tetragonal

Geometry as POSCAR:
```
NbV2NiPb
1.0
4.4330 0.0000 0.0000
0.0000 4.6845 0.0000
0.0000 0.0000 4.4330
Pb Ni Nb V
1 1 1 2
direct
0.0000 0.5000 0.0000
0.0000 0.0000 0.0000
0.5000 0.5000 0.5000
0.0000 0.0000 0.5000
0.5000 0.0000 0.0000
```

No. 11
The following is a PBE-GGA calculation of crystalline ThCd11Ni at its relaxed geometry, from the Alexandria database.

Computed properties:
**ΔE_f**: -0.049 eV per atom
**Crystal system**: monoclinic

Geometry as POSCAR:
```
ThCd11Ni
1.0
-2.7417 3.5570 -3.6738
-5.3466 -3.5539 -3.9175
-6.0626 3.3259 3.1626
Th Cd Ni
1 11 1
direct
0.0000 0.0000 0.0000
0.3012 0.2193 0.2073
0.6988 0.7807 0.7927
0.4914 0.7807 0.2073
0.5086 0.2193 0.7927
0.3656 0.6408 0.6615
0.6344 0.3592 0.3385
0.9729 0.3592 0.6615
0.0271 0.6408 0.3385
0.0000 0.5000 0.0000
0.5000 0.0000 0.5000
0.0000 0.0000 0.5000
0.5000 0.5000 0.0000
```

no.,theoretical density (Mg/m³),DFT total energy (eV/atom)
1,4.34,-5.278
2,2.36,-2.651
3,9.88,-9.609
4,1.47,-3.359
5,2.91,-2.859
6,5.25,-3.353
7,11.85,-7.139
8,6.49,-5.218
9,4.52,-7.284
10,8.31,-6.586
11,8.92,-1.839